{
  "formula": "BaNbO3",
  "functional": "PBE",
  "state": "relaxed",
  "cell": [[3.667, 0.000, -0.121], [0.000, 7.207, 0.000], [-1.583, 0.000, 7.668]],
  "species": ["Nb", "Nb", "Ba", "Ba", "O", "O", "O", "O", "O", "O"],
  "frac_coords": [[0.901, 0.250, 0.303], [0.099, 0.750, 0.697], [0.656, 0.250, 0.811], [0.344, 0.750, 0.189], [0.832, 0.461, 0.165], [0.168, 0.539, 0.835], [0.832, 0.039, 0.165], [0.168, 0.961, 0.835], [0.024, 0.250, 0.548], [0.976, 0.750, 0.452]],
  "sg": "Cmcm",
  "formation_energy_uncorrected_ev_per_atom": -2.450,
  "rho_kg_m3": 4591,
  "total_energy_ev_per_atom": -7.82
}


{
  "formula": "Sc2Mo",
  "functional": "PBE",
  "state": "relaxed",
  "cell": [[-2.845, -0.500, -3.799], [4.720, -0.525, -0.469], [-0.268, -2.936, 0.587]],
  "species": ["Mo", "Sc", "Sc"],
  "frac_coords": [[0.000, 0.000, 0.000], [0.333, 0.667, 0.275], [0.667, 0.333, 0.725]],
  "sg": "P-3m1",
  "polymorph_energy_ev_per_atom": 0.1641,
  "rho_kg_m3": 5205,
  "total_energy_ev_per_atom": -7.65
}


{
  "formula": "SmTm2Hf",
  "functional": "PBE",
  "state": "relaxed",
  "cell": [[-1.235, 4.161, 3.289], [-5.053, 2.028, 0.044], [-3.219, -0.805, 4.318]],
  "species": ["Tm", "Tm", "Hf", "Sm"],
  "frac_coords": [[0.250, 0.250, 0.250], [0.750, 0.750, 0.750], [0.500, 0.500, 0.500], [0.000, 0.000, 0.000]],
  "sg": "Fm-3m",
  "polymorph_energy_ev_per_atom": 0.1790,
  "rho_kg_m3": 9696,
  "total_energy_ev_per_atom": -5.62
}


{
  "formula": "Ba3TcH",
  "functional": "PBE",
  "state": "relaxed",
  "cell": [[5.430, 0.000, 0.000], [0.000, 5.430, 0.000], [0.000, 0.000, 5.430]],
  "species": ["H", "Ba", "Ba", "Ba", "Tc"],
  "frac_coords": [[0.000, 0.000, 0.000], [0.000, 0.500, 0.000], [0.000, 0.000, 0.500], [0.500, 0.000, 0.000], [0.500, 0.500, 0.500]],
  "sg": "Pm-3m",
  "polymorph_energy_ev_per_atom": 0.0000,
  "rho_kg_m3": 5299,
  "total_energy_ev_per_atom": -3.39
}


{
  "formula": "K6AlSe4",
  "functional": "PBE",
  "state": "relaxed",
  "cell": [[-1.400, 5.784, 5.129], [-10.376, -1.273, -1.397], [5.017, -5.445, 7.510]],
  "species": ["K", "K", "K", "K", "K", "K", "K", "K", "K", "K", "K", "K", "Al", "Al", "Se", "Se", "Se", "Se", "Se", "Se", "Se", "Se"],
  "frac_coords": [[0.453, 0.733, 0.867], [0.453, 0.133, 0.267], [0.453, 0.133, 0.867], [0.953, 0.267, 0.133], [0.953, 0.867, 0.733], [0.953, 0.867, 0.133], [0.639, 0.944, 0.472], [0.639, 0.528, 0.056], [0.639, 0.528, 0.472], [0.139, 0.056, 0.528], [0.139, 0.472, 0.944], [0.139, 0.472, 0.528], [0.746, 0.333, 0.667], [0.246, 0.667, 0.333], [0.434, 0.333, 0.667], [0.934, 0.667, 0.333], [0.845, 0.587, 0.794], [0.845, 0.206, 0.413], [0.845, 0.206, 0.794], [0.345, 0.413, 0.206], [0.345, 0.794, 0.587], [0.345, 0.794, 0.206]],
  "sg": "P6_3mc",
  "formation_energy_uncorrected_ev_per_atom": -1.080,
  "rho_kg_m3": 2534,
  "total_energy_ev_per_atom": -3.29
}


{
  "formula": "SrAl2Ru2",
  "functional": "PBE",
  "state": "relaxed",
  "cell": [[-0.181, -7.689, 0.158], [0.483, 0.147, 7.677], [-2.913, 0.073, 0.182]],
  "species": ["Ru", "Ru", "Ru", "Ru", "Al", "Al", "Al", "Al", "Sr", "Sr"],
  "frac_coords": [[0.352, 0.852, 0.000], [0.852, 0.648, 0.000], [0.648, 0.148, 0.000], [0.148, 0.352, 0.000], [0.138, 0.638, 0.500], [0.638, 0.862, 0.500], [0.862, 0.362, 0.500], [0.362, 0.138, 0.500], [0.000, 0.000, 0.000], [0.500, 0.500, 0.000]],
  "sg": "P4/mbm",
  "rho_kg_m3": 6606,
  "total_energy_ev_per_atom": -5.77
}